1.
Computed, not measured: a relaxed structure of TiAlGa3 at the PBE level of DFT.

Geometry as CIF:
```
data_TiAlGa3
_chemical_formula_sum 'Ti1 Al1 Ga3'
_symmetry_space_group_name_H-M 'P m -3 m'
_symmetry_Int_Tables_number 221
_symmetry_space_group_name_Hall '-P 4 2 3'
_cell_length_a 5.011
_cell_length_b 5.011
_cell_length_c 5.011
_cell_angle_alpha 90.00
_cell_angle_beta 90.00
_cell_angle_gamma 90.00
loop_
_atom_site_label
_atom_site_type_symbol
_atom_site_fract_x
_atom_site_fract_y
_atom_site_fract_z
Ti1 Ti 0.000 0.000 0.000
Al1 Al 0.500 0.500 0.500
Ga1 Ga 0.000 0.000 0.500
```

Values from the calculation:
The calculation puts the density of states at the Fermi level at 0.787 states/eV per atom. Its energy above the most stable polymorph in this dataset is 653 meV/atom.

2.
Computed, not measured: a relaxed structure of Ca3ZnSn3 at the PBE level of DFT.

Geometry as CIF:
```
data_Ca3ZnSn3
_chemical_formula_sum 'Ca12 Zn4 Sn12'
_symmetry_space_group_name_H-M 'C 1 2/m 1'
_symmetry_Int_Tables_number 12
_cell_length_a 11.402
_cell_length_b 4.785
_cell_length_c 15.234
_cell_angle_alpha 90.00
_cell_angle_beta 109.74
_cell_angle_gamma 90.00
loop_
_symmetry_equiv_pos_as_xyz
'x,y,z'
'-x,-y,-z'
'-x,y,-z'
'x,-y,z'
'x+1/2,y+1/2,z'
'-x+1/2,-y+1/2,-z'
'-x+1/2,y+1/2,-z'
'x+1/2,-y+1/2,z'
loop_
_atom_site_label
_atom_site_type_symbol
_atom_site_fract_x
_atom_site_fract_y
_atom_site_fract_z
Ca1 Ca 0.033 0.000 0.384
Ca2 Ca 0.095 0.000 0.920
Ca3 Ca 0.238 0.000 0.229
Zn1 Zn 0.237 0.500 0.393
Sn1 Sn 0.029 0.500 0.236
Sn2 Sn 0.121 0.500 0.076
Sn3 Sn 0.138 0.500 0.544
```

Values from the calculation:
The calculation puts the density of states at the Fermi level at 0.365 states/eV per atom. The total energy comes out at -0.1223 Ha/atom.

Repeat the first record exactly.
Computed, not measured: a relaxed structure of TiAlGa3 at the PBE level of DFT.

Geometry as CIF:
```
data_TiAlGa3
_chemical_formula_sum 'Ti1 Al1 Ga3'
_symmetry_space_group_name_H-M 'P m -3 m'
_symmetry_Int_Tables_number 221
_symmetry_space_group_name_Hall '-P 4 2 3'
_cell_length_a 5.011
_cell_length_b 5.011
_cell_length_c 5.011
_cell_angle_alpha 90.00
_cell_angle_beta 90.00
_cell_angle_gamma 90.00
loop_
_atom_site_label
_atom_site_type_symbol
_atom_site_fract_x
_atom_site_fract_y
_atom_site_fract_z
Ti1 Ti 0.000 0.000 0.000
Al1 Al 0.500 0.500 0.500
Ga1 Ga 0.000 0.000 0.500
```

Values from the calculation:
The calculation puts the density of states at the Fermi level at 0.787 states/eV per atom. Its energy above the most stable polymorph in this dataset is 653 meV/atom.